Entry 1:
# La5Tb2CePr

La5Tb2CePr after structural relaxation (PBE-GGA, Alexandria via LeMat-Bulk).

- Space-group type: P4/mbm, No. 127
- Fermi-level density of states: 34.9 states/eV/cell
- E_form: 0.27 eV/atom
- Energy: -4.69 eV per atom

Lattice parameters (Å, degrees): 9.378 8.300 8.300 90.00 90.00 90.00
Sites, in units of the cell vectors:
La 0.500 0.500 0.500
La 0.500 0.000 0.000
La 0.228 0.190 0.690
La 0.228 0.810 0.310
La 0.228 0.310 0.190
La 0.228 0.690 0.810
La 0.772 0.190 0.690
La 0.772 0.690 0.810
La 0.772 0.810 0.310
La 0.772 0.310 0.190
Tb 0.500 0.629 0.129
Tb 0.500 0.129 0.371
Tb 0.500 0.871 0.629
Tb 0.500 0.371 0.871
Ce 0.000 0.000 0.500
Ce 0.000 0.500 0.000
Pr 0.000 0.500 0.500
Pr 0.000 0.000 0.000

Entry 2:
# Fe3Br2

Fe3Br2 after structural relaxation (PBE-GGA, Alexandria via LeMat-Bulk).

- Space-group type: P-3m1, No. 164
- Fermi-level density of states: 2.5 states/eV/cell
- Energy relative to the elements, uncorrected: 0.197 eV per atom
- Energy: -5.55 eV per atom

Lattice parameters (Å, degrees): 3.398 3.398 9.347 90.00 90.00 120.00
Sites, in units of the cell vectors:
Fe 0.000 0.000 0.000
Fe 0.667 0.333 0.840
Fe 0.333 0.667 0.160
Br 0.667 0.333 0.332
Br 0.333 0.667 0.668

Entry 3:
# PrDy3Er8

PrDy3Er8 after structural relaxation (PBE-GGA, Alexandria via LeMat-Bulk).

- Space-group type: Immm, No. 71
- Fermi-level density of states: 15.6 states/eV/cell
- E_form: 0.32 eV/atom
- Energy: -4.27 eV per atom

Lattice parameters (Å, degrees): 8.584 8.584 8.584 97.59 136.48 98.21
Sites, in units of the cell vectors:
Pr 0.000 0.000 0.000
Dy 0.500 0.743 0.243
Dy 0.500 0.257 0.757
Dy 0.000 0.500 0.500
Er 0.504 0.257 0.247
Er 0.496 0.743 0.753
Er 0.990 0.743 0.247
Er 0.010 0.257 0.753
Er 0.170 0.421 0.251
Er 0.830 0.081 0.251
Er 0.830 0.579 0.749
Er 0.170 0.919 0.749

Entry 4:
# CaPt2Cl

CaPt2Cl after structural relaxation (PBE-GGA, Alexandria via LeMat-Bulk).

- Space-group type: Pm, No. 6
- Fermi-level density of states: 2.4 states/eV/cell
- Energy relative to the elements, uncorrected: -0.862 eV per atom
- Energy: -4.84 eV per atom

Lattice parameters (Å, degrees): 3.664 3.627 8.214 62.87 90.00 90.00
Sites, in units of the cell vectors:
Ca 0.000 0.745 0.500
Pt 0.000 0.613 0.146
Pt 0.500 0.065 0.192
Cl 0.500 0.078 0.662

Entry 5:
# CrSb2Au

CrSb2Au after structural relaxation (PBE-GGA, Alexandria via LeMat-Bulk).

- Space-group type: P4/mmm, No. 123
- Fermi-level density of states: 2.5 states/eV/cell
- Energy relative to the elements, uncorrected: 0.241 eV per atom
- Energy: -5.04 eV per atom

Lattice parameters (Å, degrees): 3.645 3.645 6.392 90.00 90.00 90.01
Sites, in units of the cell vectors:
Au 0.500 0.500 0.250
Cr 0.500 0.500 0.750
Sb 0.000 0.000 0.983
Sb 0.000 0.000 0.517

Entry 6:
# BeRhAu2

BeRhAu2 after structural relaxation (PBE-GGA, Alexandria via LeMat-Bulk).

- Space-group type: P4/mmm, No. 123
- Fermi-level density of states: 2.5 states/eV/cell
- E_form: 0.03 eV/atom
- Energy: -4.38 eV per atom

Lattice parameters (Å, degrees): 3.872 3.872 4.016 90.00 90.00 90.00
Sites, in units of the cell vectors:
Rh 0.000 0.500 0.500
Au 0.000 0.000 0.000
Au 0.500 0.500 0.000
Be 0.500 0.000 0.500

Entry 7:
# In8Pd6Au

In8Pd6Au after structural relaxation (PBE-GGA, Alexandria via LeMat-Bulk).

- Space-group type: R-3, No. 148
- Fermi-level density of states: 4.5 states/eV/cell
- E_form: -0.43 eV/atom
- Energy: -4.19 eV per atom

Lattice parameters (Å, degrees): 7.233 7.233 7.233 66.61 66.61 66.61
Sites, in units of the cell vectors:
In 0.203 0.569 0.879
In 0.121 0.797 0.431
In 0.431 0.121 0.797
In 0.668 0.668 0.668
In 0.332 0.332 0.332
In 0.569 0.879 0.203
In 0.879 0.203 0.569
In 0.797 0.431 0.121
Pd 0.050 0.394 0.711
Pd 0.289 0.950 0.606
Pd 0.606 0.289 0.950
Pd 0.394 0.711 0.050
Pd 0.711 0.050 0.394
Pd 0.950 0.606 0.289
Au 0.000 0.000 0.000

Entry 8:
# MgZnTe2I

MgZnTe2I after structural relaxation (PBE-GGA, Alexandria via LeMat-Bulk).

- Space-group type: P4/mmm, No. 123
- Fermi-level density of states: 7.2 states/eV/cell
- Energy relative to the elements, uncorrected: 0.192 eV per atom
- Energy: -1.95 eV per atom

Lattice parameters (Å, degrees): 5.578 5.578 5.598 90.00 90.00 90.00
Sites, in units of the cell vectors:
I 0.000 0.000 0.500
Zn 0.500 0.500 0.500
Te 0.000 0.500 0.000
Te 0.500 0.000 0.000
Mg 0.000 0.000 0.000

Entry 9:
# Li2TiC

Li2TiC after structural relaxation (PBE-GGA, Alexandria via LeMat-Bulk).

- Space-group type: I-42d, No. 122
- Fermi-level density of states: 4.2 states/eV/cell
- E_form: 0.23 eV/atom
- Energy: -5.01 eV per atom

Lattice parameters (Å, degrees): 3.116 3.116 9.664 80.72 80.72 90.00
Sites, in units of the cell vectors:
C 0.500 0.500 0.000
C 0.250 0.750 0.500
Li 0.165 0.125 0.250
Li 0.585 0.625 0.250
Li 0.375 0.835 0.750
Li 0.875 0.415 0.750
Ti 0.000 0.000 0.000
Ti 0.750 0.250 0.500

Entry 10:
# ReB3Pb

ReB3Pb after structural relaxation (PBE-GGA, Alexandria via LeMat-Bulk).

- Space-group type: Pm-3m, No. 221
- Fermi-level density of states: 7.1 states/eV/cell
- E_form: 3.36 eV/atom
- Energy: -3.88 eV per atom

Lattice parameters (Å, degrees): 4.380 4.380 4.380 90.00 90.00 90.00
Sites, in units of the cell vectors:
Pb 0.000 0.000 0.000
Re 0.500 0.500 0.500
B 0.000 0.500 0.000
B 0.000 0.000 0.500
B 0.500 0.000 0.000

Entry 11:
# RbLa2TaBr

RbLa2TaBr after structural relaxation (PBE-GGA, Alexandria via LeMat-Bulk).

- Space-group type: P4/mmm, No. 123
- Fermi-level density of states: 8.2 states/eV/cell
- Energy relative to the elements, uncorrected: 1.587 eV per atom
- Energy: -3.28 eV per atom

Lattice parameters (Å, degrees): 5.878 5.490 5.878 90.00 90.00 90.00
Sites, in units of the cell vectors:
La 0.000 0.000 0.500
La 0.500 0.000 0.000
Br 0.000 0.500 0.000
Rb 0.000 0.000 0.000
Ta 0.500 0.500 0.500

Entry 12:
# Th6SeS5

Th6SeS5 after structural relaxation (PBE-GGA, Alexandria via LeMat-Bulk).

- Space-group type: C2/m, No. 12
- Fermi-level density of states: 7.4 states/eV/cell
- Energy relative to the elements, uncorrected: -1.791 eV per atom
- Energy: -7.51 eV per atom

Lattice parameters (Å, degrees): 7.077 7.077 7.016 99.68 99.68 120.11
Sites, in units of the cell vectors:
S 0.838 0.162 0.500
S 0.668 0.332 0.000
S 0.500 0.500 0.500
S 0.332 0.668 0.000
S 0.162 0.838 0.500
Se 0.000 0.000 0.000
Th 0.428 0.086 0.256
Th 0.914 0.572 0.744
Th 0.259 0.259 0.748
Th 0.741 0.741 0.252
Th 0.086 0.428 0.256
Th 0.572 0.914 0.744

Entry 13:
# Ba2Y

Ba2Y after structural relaxation (PBE-GGA, Alexandria via LeMat-Bulk).

- Space-group type: Immm, No. 71
- Fermi-level density of states: 10.1 states/eV/cell
- E_form: 0.33 eV/atom
- Energy: -3.10 eV per atom

Lattice parameters (Å, degrees): 3.823 6.816 11.196 90.00 90.00 90.00
Sites, in units of the cell vectors:
Ba 0.000 0.500 0.178
Ba 0.000 0.500 0.822
Ba 0.500 0.000 0.678
Ba 0.500 0.000 0.322
Y 0.000 0.000 0.000
Y 0.500 0.500 0.500

Entry 14:
# Pt2Au

Pt2Au after structural relaxation (PBE-GGA, Alexandria via LeMat-Bulk).

- Space-group type: Cm, No. 8
- Fermi-level density of states: 10.1 states/eV/cell
- E_form: 0.08 eV/atom
- Energy: -5.04 eV per atom

Lattice parameters (Å, degrees): 5.545 5.545 10.834 140.40 140.40 29.44
Sites, in units of the cell vectors:
Au 0.002 0.002 0.001
Au 0.332 0.332 0.666
Pt 0.106 0.106 0.718
Pt 0.440 0.440 0.386
Pt 0.667 0.667 0.335
Pt 0.786 0.786 0.060

Entry 15:
# PW4Br

PW4Br after structural relaxation (PBE-GGA, Alexandria via LeMat-Bulk).

- Space-group type: F-43m, No. 216
- Fermi-level density of states: 5.9 states/eV/cell
- Energy relative to the elements, uncorrected: 1.347 eV per atom
- Energy: -8.47 eV per atom

Lattice parameters (Å, degrees): 5.366 5.366 5.366 60.00 60.00 60.00
Sites, in units of the cell vectors:
P 0.000 0.000 0.000
W 0.624 0.624 0.127
W 0.624 0.127 0.624
W 0.624 0.624 0.624
W 0.127 0.624 0.624
Br 0.250 0.250 0.250

Entry 16:
# AcSmTh2As4

AcSmTh2As4 after structural relaxation (PBE-GGA, Alexandria via LeMat-Bulk).

- Space-group type: P2/m, No. 10
- Fermi-level density of states: 4.2 states/eV/cell
- E_form: -1.44 eV/atom
- Energy: -6.72 eV per atom

Lattice parameters (Å, degrees): 4.316 7.482 7.475 70.52 90.00 90.00
Sites, in units of the cell vectors:
Ac 0.500 0.500 0.000
Sm 0.000 0.500 0.500
Th 0.000 0.000 0.000
Th 0.500 0.000 0.500
As 0.000 0.763 0.739
As 0.000 0.237 0.261
As 0.500 0.757 0.255
As 0.500 0.243 0.745

Entry 17:
# KMg2Sc

KMg2Sc after structural relaxation (PBE-GGA, Alexandria via LeMat-Bulk).

- Space-group type: Pmm2, No. 25
- Fermi-level density of states: 4.0 states/eV/cell
- E_form: 0.27 eV/atom
- Energy: -2.38 eV per atom

Lattice parameters (Å, degrees): 5.663 3.309 6.211 90.00 90.00 90.00
Sites, in units of the cell vectors:
K 0.500 0.625 0.797
Mg 0.000 0.125 0.980
Mg 0.500 0.125 0.302
Sc 0.000 0.625 0.421

Entry 18:
# SnSBr3

SnSBr3 after structural relaxation (PBE-GGA, Alexandria via LeMat-Bulk).

- Space-group type: Pm-3m, No. 221
- Fermi-level density of states: 3.3 states/eV/cell
- Energy relative to the elements, uncorrected: 0.167 eV per atom
- Energy: -2.46 eV per atom

Lattice parameters (Å, degrees): 5.240 5.240 5.240 90.00 90.00 90.00
Sites, in units of the cell vectors:
S 0.000 0.000 0.000
Sn 0.500 0.500 0.500
Br 0.000 0.500 0.000
Br 0.000 0.000 0.500
Br 0.500 0.000 0.000

Entry 19:
# Ba2Cd6InCu

Ba2Cd6InCu after structural relaxation (PBE-GGA, Alexandria via LeMat-Bulk).

- Space-group type: P-1, No. 2
- Fermi-level density of states: 4.8 states/eV/cell
- E_form: -0.18 eV/atom
- Energy: -1.80 eV per atom

Lattice parameters (Å, degrees): 7.778 7.199 7.792 62.33 55.08 89.90
Sites, in units of the cell vectors:
Ba 0.710 0.292 0.417
Ba 0.290 0.708 0.583
Cd 0.167 0.260 0.481
Cd 0.743 0.832 0.905
Cd 0.262 0.742 0.091
Cd 0.738 0.258 0.909
Cd 0.257 0.168 0.095
Cd 0.833 0.740 0.519
In 0.000 0.000 0.000
Cu 0.500 0.500 0.000

Entry 20:
# PuZnGaCu

PuZnGaCu after structural relaxation (PBE-GGA, Alexandria via LeMat-Bulk).

- Space-group type: F-43m, No. 216
- Fermi-level density of states: 10.5 states/eV/cell
- E_form: -0.10 eV/atom
- Energy: -5.78 eV per atom

Lattice parameters (Å, degrees): 4.676 4.676 4.676 60.00 60.00 60.00
Sites, in units of the cell vectors:
Zn 0.250 0.250 0.250
Cu 0.750 0.750 0.750
Ga 0.500 0.500 0.500
Pu 0.000 0.000 0.000